Record 1
DFT (PBE) results for a relaxed SmPO4F crystal.

Results
magnetization = 1.022 μB/f.u.
electronic total energy = -50.770 eV/f.u.

POSCAR file:
```
SmPO4F
1.0
4.684 -3.600 0.000
4.684 3.600 0.000
-1.803 0.000 6.350
Sm P O F
2 2 8 2
direct
0.207 0.207 0.117
0.793 0.793 0.883
0.356 0.356 0.732
0.644 0.644 0.268
0.135 0.476 0.840
0.284 0.284 0.494
0.475 0.475 0.229
0.476 0.135 0.840
0.524 0.865 0.160
0.525 0.525 0.771
0.716 0.716 0.506
0.865 0.524 0.160
0.017 0.017 0.814
0.983 0.983 0.186
```

***

Record 2
DFT (PBE) results for a relaxed SnP2OF crystal.

Results
magnetization = 2.137 μB/f.u.
distance to the lowest polymorph of the same formula = 0.081 eV/atom
electronic total energy = -19.177 eV/f.u.

POSCAR file:
```
SnP2OF
1.0
5.197 0.000 0.000
0.000 5.197 0.000
0.000 0.000 3.945
Sn P O F
1 2 1 1
direct
0.000 0.000 0.000
0.000 0.500 0.000
0.500 0.000 0.000
0.000 0.000 0.500
0.500 0.500 0.500
```

***

Record 3
DFT (PBE) results for a relaxed SnPOF2 crystal.

Results
magnetization = 2.385 μB/f.u.
distance to the lowest polymorph of the same formula = 0.234 eV/atom
electronic total energy = -21.995 eV/f.u.

POSCAR file:
```
SnPOF2
1.0
4.390 0.000 0.000
0.000 4.390 0.000
0.000 0.000 4.088
Sn P O F
1 1 1 2
direct
0.000 0.000 0.000
0.500 0.500 0.500
0.000 0.000 0.500
0.000 0.500 0.000
0.500 0.000 0.000
```

***

Record 4
DFT (PBE) results for a relaxed SnPO2F crystal.

Results
magnetization = 0.442 μB/f.u.
electronic total energy = -19.633 eV/f.u.

POSCAR file:
```
SnPO2F
1.0
4.546 0.000 0.000
0.000 4.546 0.000
0.000 0.000 3.482
Sn P O F
1 1 2 1
direct
0.000 0.000 0.000
0.500 0.500 0.000
0.000 0.500 0.500
0.500 0.000 0.500
0.500 0.500 0.500
```

***

Record 5
DFT (PBE) results for a relaxed SnPO2F crystal.

Results
magnetization = 0.000 μB/f.u.
electronic total energy = -25.935 eV/f.u.

POSCAR file:
```
SnPO2F
1.0
3.895 0.000 0.000
0.000 3.895 0.000
0.000 0.000 4.301
Sn P O F
1 1 2 1
direct
0.000 0.000 0.000
0.500 0.500 0.500
0.000 0.500 0.500
0.500 0.000 0.500
0.500 0.500 0.000
```

***

Record 6
DFT (PBE) results for a relaxed SnPO2F crystal.

Results
magnetization = 1.855 μB/f.u.
electronic total energy = -23.877 eV/f.u.

POSCAR file:
```
SnPO2F
1.0
4.093 0.000 0.000
0.000 4.093 0.000
0.000 0.000 4.204
Sn P O F
1 1 2 1
direct
0.000 0.000 0.000
0.500 0.500 0.500
0.000 0.500 0.000
0.500 0.000 0.000
0.000 0.000 0.500
```